Record 1
Here is a geometry-optimized CeZrOs structure from Alexandria. Energies are from PBE.

Results
- Offset from the most stable computed form: 77 meV/atom
- Energy of formation from the pure elements: -55 meV per atom

Cell lengths 11.8767, 11.8767, 10.9565 Å; angles 90.00, 90.00, 120.00 degrees
Space group R-3 (No. 148, hexagonal axes)
Inequivalent atoms, fractional coordinates:
Ce (0.0323, 0.1930, 0.3878) (multiplicity 18)
Zr (0.0312, 0.2163, 0.8975) (multiplicity 18)
Os (0.0429, 0.2596, 0.1496) (multiplicity 18)

---

Record 2
Here is a geometry-optimized Ca3Pd6Pb5 structure from Alexandria. Energies are from PBE.

Results
- Energy of formation from the pure elements: -489 meV per atom

Cell lengths 4.6880, 14.5176, 9.4739 Å; angles 90.00, 90.00, 90.00 degrees
Space group Pmmn (No. 59, origin choice 2)
Inequivalent atoms, fractional coordinates:
Ca (0.2500, 0.0702, 0.2455) (multiplicity 4)
Ca (0.2500, 0.7500, 0.3249) (multiplicity 2)
Pd (0.2500, 0.0426, 0.9124) (multiplicity 4)
Pd (0.2500, 0.2500, 0.4509) (multiplicity 2)
Pd (0.2500, 0.2500, 0.9003) (multiplicity 2)
Pd (0.2500, 0.5980, 0.5365) (multiplicity 4)
Pb (0.2500, 0.0878, 0.6239) (multiplicity 4)
Pb (0.2500, 0.6372, 0.0189) (multiplicity 4)
Pb (0.2500, 0.7500, 0.7175) (multiplicity 2)

---

Record 3
Here is a geometry-optimized CaSbH structure from Alexandria. Energies are from PBE.

Results
- Offset from the most stable computed form: 198 meV/atom

Cell lengths 3.9676, 3.9676, 9.7870 Å; angles 90.00, 90.00, 120.00 degrees
Space group P-3m1 (No. 164)
Inequivalent atoms, fractional coordinates:
Ca (0.3333, 0.6667, 0.3473) (multiplicity 2)
Sb (0.3333, 0.6667, 0.9071) (multiplicity 2)
H (0.3333, 0.6667, 0.5808) (multiplicity 2)

---

Copy entry 1 word for word.
Here is a geometry-optimized CeZrOs structure from Alexandria. Energies are from PBE.

Results
- Offset from the most stable computed form: 77 meV/atom
- Energy of formation from the pure elements: -55 meV per atom

Cell lengths 11.8767, 11.8767, 10.9565 Å; angles 90.00, 90.00, 120.00 degrees
Space group R-3 (No. 148, hexagonal axes)
Inequivalent atoms, fractional coordinates:
Ce (0.0323, 0.1930, 0.3878) (multiplicity 18)
Zr (0.0312, 0.2163, 0.8975) (multiplicity 18)
Os (0.0429, 0.2596, 0.1496) (multiplicity 18)